An optimized crystal structure of LuNiSnIr. Source: OQMD, functional GGA-PBE.

Structure (CIF):
```
data_LuNiSnIr
_chemical_formula_sum 'Lu1 Ni1 Sn1 Ir1'
_cell_length_a 4.6573
_cell_length_b 4.6573
_cell_length_c 4.6573
_cell_angle_alpha 60.00
_cell_angle_beta 60.00
_cell_angle_gamma 60.00
_space_group_name_H-M_alt 'P 1'
_space_group_IT_number 1
loop_
_space_group_symop_operation_xyz
'x,y,z'
loop_
_atom_site_label
_atom_site_type_symbol
_atom_site_fract_x
_atom_site_fract_y
_atom_site_fract_z
_atom_site_occupancy
Ir1 Ir 0.5000 0.5000 0.5000 1
Lu1 Lu 0.2500 0.2500 0.2500 1
Ni1 Ni 0.7500 0.7500 0.7500 1
Sn1 Sn 0.0000 0.0000 0.0000 1
```

Size of the total moment ... 0.01 μB/f.u.
Calculated total energy ... -23.538 eV per cell
Crystal system ... cubic
SG ... F-43m
Volume ... 17.9 A^3/atom